{
  "formula": "LiCr2Si",
  "functional": "GGA-PBEsol",
  "state": "relaxed",
  "lattice_angstrom": [[2.3898, -3.8747, 0.0000], [2.3898, 3.8747, 0.0000], [0.0000, 0.0000, 2.4319]],
  "species": ["Li", "Cr", "Cr", "Si"],
  "fractional_positions": [[0.0000, 0.0000, 0.0000], [0.0000, 0.5000, 0.5000], [0.5000, 0.0000, 0.5000], [0.5000, 0.5000, 0.0000]],
  "e_form_raw_kcal_per_mol_atoms": 3.8,
  "volume_a3_per_atom": 11.26
}


{
  "formula": "LiCr3Si",
  "functional": "GGA-PBEsol",
  "state": "relaxed",
  "lattice_angstrom": [[4.6054, 0.0000, 0.0000], [0.0000, 4.6054, 0.0000], [0.0000, 0.0000, 4.6054]],
  "species": ["Li", "Cr", "Cr", "Cr", "Si"],
  "fractional_positions": [[0.0000, 0.0000, 0.0000], [0.0000, 0.5000, 0.5000], [0.5000, 0.0000, 0.5000], [0.5000, 0.5000, 0.0000], [0.5000, 0.5000, 0.5000]],
  "e_form_raw_kcal_per_mol_atoms": 25.6,
  "volume_a3_per_atom": 19.54
}


{
  "formula": "LiCrSi",
  "functional": "GGA-PBEsol",
  "state": "relaxed",
  "lattice_angstrom": [[-1.2392, 1.2392, 6.1498], [1.2392, -1.2392, 6.1498], [1.2392, 1.2392, -6.1498]],
  "species": ["Li", "Cr", "Si"],
  "fractional_positions": [[0.0000, 0.0000, 0.0000], [0.3160, 0.3160, 0.0000], [0.6712, 0.6712, 0.0000]],
  "e_form_raw_kcal_per_mol_atoms": 2.7,
  "volume_a3_per_atom": 12.59
}


{
  "formula": "LiCr2Si",
  "functional": "GGA-PBEsol",
  "state": "relaxed",
  "lattice_angstrom": [[2.4351, 0.0000, 0.0000], [0.0000, 2.4351, 0.0000], [0.0000, 0.0000, 8.2054]],
  "species": ["Li", "Cr", "Cr", "Si"],
  "fractional_positions": [[0.0000, 0.0000, 0.0000], [0.0000, 0.0000, 0.4739], [0.5000, 0.5000, 0.7177], [0.5000, 0.5000, 0.2517]],
  "e_form_raw_kcal_per_mol_atoms": 4.7,
  "volume_a3_per_atom": 12.16
}


{
  "formula": "LiCrSi2",
  "functional": "GGA-PBEsol",
  "state": "relaxed",
  "lattice_angstrom": [[2.5727, -3.6681, 0.0000], [2.5727, 3.6681, 0.0000], [0.0000, 0.0000, 2.4957]],
  "species": ["Li", "Cr", "Si", "Si"],
  "fractional_positions": [[0.0000, 0.0000, 0.0000], [0.5000, 0.5000, 0.0000], [0.0000, 0.5000, 0.5000], [0.5000, 0.0000, 0.5000]],
  "e_form_raw_kcal_per_mol_atoms": -1.9,
  "de_polymorph_ev_per_fu": 0.346,
  "volume_a3_per_atom": 11.78
}


{
  "formula": "LiCrSi2",
  "functional": "GGA-PBEsol",
  "state": "relaxed",
  "lattice_angstrom": [[1.3700, 0.7910, 8.1085], [-1.3700, 0.7910, 8.1085], [0.0000, -1.5820, 8.1085]],
  "species": ["Li", "Cr", "Si", "Si"],
  "fractional_positions": [[0.0000, 0.0000, 0.0000], [0.5000, 0.5000, 0.5000], [0.2431, 0.2431, 0.2431], [0.7569, 0.7569, 0.7569]],
  "e_form_raw_kcal_per_mol_atoms": -2.1,
  "de_polymorph_ev_per_fu": 0.315,
  "volume_a3_per_atom": 13.18
}


{
  "formula": "LiCr2Si",
  "functional": "GGA-PBEsol",
  "state": "relaxed",
  "lattice_angstrom": [[4.0982, -1.2205, 0.0000], [4.0982, 1.2205, 0.0000], [-0.3694, 0.0000, 4.5561]],
  "species": ["Li", "Cr", "Cr", "Si"],
  "fractional_positions": [[0.0000, 0.0000, 0.0000], [0.5156, 0.5156, 0.5024], [0.7578, 0.7578, 0.2732], [0.2517, 0.2517, 0.7697]],
  "e_form_raw_kcal_per_mol_atoms": 2.7,
  "volume_a3_per_atom": 11.39
}


{
  "formula": "LiCr2Si",
  "functional": "GGA-PBEsol",
  "state": "relaxed",
  "lattice_angstrom": [[0.0000, 2.8060, 2.8060], [2.8060, 0.0000, 2.8060], [2.8060, 2.8060, 0.0000]],
  "species": ["Li", "Cr", "Cr", "Si"],
  "fractional_positions": [[0.0000, 0.0000, 0.0000], [0.2500, 0.2500, 0.2500], [0.5000, 0.5000, 0.5000], [0.7500, 0.7500, 0.7500]],
  "e_form_raw_kcal_per_mol_atoms": -1.5,
  "volume_a3_per_atom": 11.05
}


{
  "formula": "LiCrSi2",
  "functional": "GGA-PBEsol",
  "state": "relaxed",
  "lattice_angstrom": [[2.5873, 0.0000, 0.0000], [0.0000, 2.5873, 0.0000], [0.0000, 0.0000, 7.7483]],
  "species": ["Li", "Cr", "Si", "Si"],
  "fractional_positions": [[0.0000, 0.0000, 0.0000], [0.0000, 0.0000, 0.5000], [0.5000, 0.5000, 0.2763], [0.5000, 0.5000, 0.7237]],
  "e_form_raw_kcal_per_mol_atoms": -3.9,
  "de_polymorph_ev_per_fu": 0.000,
  "volume_a3_per_atom": 12.97
}


{
  "formula": "SrLi2Cr",
  "functional": "GGA-PBEsol",
  "state": "relaxed",
  "lattice_angstrom": [[3.3861, 0.0000, 0.0000], [0.0000, 4.9614, 0.0000], [-0.9526, 0.0000, 6.0143]],
  "species": ["Sr", "Li", "Li", "Cr"],
  "fractional_positions": [[0.0000, 0.0000, 0.0000], [0.2763, 0.5000, 0.6871], [0.7237, 0.5000, 0.3129], [0.5000, 0.0000, 0.5000]],
  "de_polymorph_ev_per_fu": 0.183,
  "formation_energy_mev_per_atom": 580,
  "volume_a3_per_atom": 25.26
}


{
  "formula": "SrLi2Cr",
  "functional": "GGA-PBEsol",
  "state": "relaxed",
  "lattice_angstrom": [[3.6814, 0.0000, 0.0000], [0.0000, 3.6814, 0.0000], [0.0000, 0.0000, 7.5744]],
  "species": ["Sr", "Li", "Li", "Cr"],
  "fractional_positions": [[0.0000, 0.0000, 0.0000], [0.0000, 0.0000, 0.4688], [0.5000, 0.5000, 0.6646], [0.5000, 0.5000, 0.2872]],
  "de_polymorph_ev_per_fu": 0.000,
  "formation_energy_mev_per_atom": 534,
  "volume_a3_per_atom": 25.66
}


{
  "formula": "SrLi2Cr",
  "functional": "GGA-PBEsol",
  "state": "relaxed",
  "lattice_angstrom": [[3.7276, 0.0000, 0.0000], [0.0000, 3.7276, 0.0000], [0.0000, 0.0000, 7.1734]],
  "species": ["Sr", "Li", "Li", "Cr"],
  "fractional_positions": [[0.0000, 0.0000, 0.0000], [0.5000, 0.5000, 0.3168], [0.5000, 0.5000, 0.6832], [0.0000, 0.0000, 0.5000]],
  "de_polymorph_ev_per_fu": 0.079,
  "formation_energy_mev_per_atom": 554,
  "volume_a3_per_atom": 24.92
}


{
  "formula": "Sr3LiCr",
  "functional": "GGA-PBEsol",
  "state": "relaxed",
  "lattice_angstrom": [[6.0111, 0.0000, 0.0000], [0.0000, 6.0111, 0.0000], [0.0000, 0.0000, 6.0111]],
  "species": ["Sr", "Sr", "Sr", "Li", "Cr"],
  "fractional_positions": [[0.0000, 0.0000, 0.5000], [0.0000, 0.5000, 0.0000], [0.5000, 0.0000, 0.0000], [0.0000, 0.0000, 0.0000], [0.5000, 0.5000, 0.5000]],
  "formation_energy_mev_per_atom": 792,
  "volume_a3_per_atom": 43.44
}


{
  "formula": "Li3TaCr",
  "functional": "GGA-PBEsol",
  "state": "relaxed",
  "lattice_angstrom": [[4.9462, 0.0000, 0.0000], [0.0000, 4.9462, 0.0000], [0.0000, 0.0000, 4.9462]],
  "species": ["Li", "Li", "Li", "Ta", "Cr"],
  "fractional_positions": [[0.0000, 0.0000, 0.5000], [0.0000, 0.5000, 0.0000], [0.5000, 0.0000, 0.0000], [0.0000, 0.0000, 0.0000], [0.5000, 0.5000, 0.5000]],
  "formation_energy_mev_per_atom": 1940,
  "volume_a3_per_atom": 24.20
}


{
  "formula": "LiTa3Cr",
  "functional": "GGA-PBEsol",
  "state": "relaxed",
  "lattice_angstrom": [[4.3423, 0.0000, 0.0000], [0.0000, 4.3423, 0.0000], [0.0000, 0.0000, 4.3423]],
  "species": ["Li", "Ta", "Ta", "Ta", "Cr"],
  "fractional_positions": [[0.0000, 0.0000, 0.0000], [0.0000, 0.0000, 0.5000], [0.0000, 0.5000, 0.0000], [0.5000, 0.0000, 0.0000], [0.5000, 0.5000, 0.5000]],
  "formation_energy_mev_per_atom": 1394,
  "volume_a3_per_atom": 16.37
}


{
  "formula": "LiTaCr3",
  "functional": "GGA-PBEsol",
  "state": "relaxed",
  "lattice_angstrom": [[3.9829, 0.0000, 0.0000], [0.0000, 3.9829, 0.0000], [0.0000, 0.0000, 3.9829]],
  "species": ["Li", "Ta", "Cr", "Cr", "Cr"],
  "fractional_positions": [[0.0000, 0.0000, 0.0000], [0.5000, 0.5000, 0.5000], [0.0000, 0.0000, 0.5000], [0.0000, 0.5000, 0.0000], [0.5000, 0.0000, 0.0000]],
  "formation_energy_mev_per_atom": 1279,
  "volume_a3_per_atom": 12.64
}


{
  "formula": "LiTaCr",
  "functional": "GGA-PBEsol",
  "state": "relaxed",
  "lattice_angstrom": [[-1.5834, 1.5834, 4.0906], [1.5834, -1.5834, 4.0906], [1.5834, 1.5834, -4.0906]],
  "species": ["Li", "Ta", "Cr"],
  "fractional_positions": [[0.0000, 0.0000, 0.0000], [0.6840, 0.6840, 0.0000], [0.3372, 0.3372, 0.0000]],
  "formation_energy_mev_per_atom": 563,
  "volume_a3_per_atom": 13.68
}


{
  "formula": "LiTaCr2",
  "functional": "GGA-PBEsol",
  "state": "relaxed",
  "lattice_angstrom": [[2.5562, 0.0000, 0.0000], [0.0000, 4.3439, 0.0000], [-0.6903, 0.0000, 4.7882]],
  "species": ["Li", "Ta", "Cr", "Cr"],
  "fractional_positions": [[0.0000, 0.0000, 0.0000], [0.5000, 0.0000, 0.5000], [0.2091, 0.5000, 0.7359], [0.7909, 0.5000, 0.2641]],
  "formation_energy_mev_per_atom": 508,
  "volume_a3_per_atom": 13.29
}


{
  "formula": "LiCr4Tc",
  "functional": "GGA-PBEsol",
  "state": "relaxed",
  "lattice_angstrom": [[0.0000, 3.3048, 3.3048], [3.3048, 0.0000, 3.3048], [3.3048, 3.3048, 0.0000]],
  "species": ["Li", "Cr", "Cr", "Cr", "Cr", "Tc"],
  "fractional_positions": [[0.0000, 0.0000, 0.0000], [0.3739, 0.3739, 0.3739], [0.3739, 0.3739, 0.8784], [0.3739, 0.8784, 0.3739], [0.8784, 0.3739, 0.3739], [0.7500, 0.7500, 0.7500]],
  "formation_energy_mev_per_atom": 245,
  "volume_a3_per_atom": 12.03
}


{
  "formula": "LiCrTc3",
  "functional": "GGA-PBEsol",
  "state": "relaxed",
  "lattice_angstrom": [[4.3867, 0.0000, 0.0000], [0.0000, 4.3867, 0.0000], [0.0000, 0.0000, 4.3867]],
  "species": ["Li", "Cr", "Tc", "Tc", "Tc"],
  "fractional_positions": [[0.0000, 0.0000, 0.0000], [0.5000, 0.5000, 0.5000], [0.0000, 0.5000, 0.5000], [0.5000, 0.0000, 0.5000], [0.5000, 0.5000, 0.0000]],
  "formation_energy_mev_per_atom": 1296,
  "volume_a3_per_atom": 16.88
}


Going through the records in order, we get electronic total energy values of -6.8844, -6.5788, -5.8696, -6.8474, -6.0075, -6.0152, -6.9338, -7.1157, -6.0941, -3.4237, -3.4695, -3.4499, -2.7538, -3.7984, -8.5780, -7.7702, -7.6904, -8.2427, -8.7884, -7.9051 eV/atom.